[1]
Computed, not measured: Si3SnH after structural relaxation at the PBE level of DFT.

Fermi-level density of states (states/eV/cell): 2.217
E_tot (Ry per atom): -0.298
Total magnetization (μB per formula unit): 0.00

Cell: 4.245 4.245 4.245 Å, 90.00 90.00 90.00°
Atoms (fractional coordinates):
Si1 0.000 0.000 0.500
Si2 0.000 0.500 0.000
Si3 0.500 0.000 0.000
Sn1 0.500 0.500 0.500
H1 0.000 0.000 0.000



[2]
Computed, not measured: TlSiSn2H after structural relaxation at the PBE level of DFT.

Fermi-level density of states (states/eV/cell): 1.980
E_tot (Ry per atom): -0.250
Total magnetization (μB per formula unit): 0.00

Cell: 5.089 5.089 4.026 Å, 90.00 90.00 90.00°
Atoms (fractional coordinates):
Tl1 0.000 0.000 0.000
Si1 0.500 0.500 0.000
Sn1 0.000 0.500 0.500
Sn2 0.500 0.000 0.500
H1 0.500 0.500 0.500



[3]
Computed, not measured: Sr8Si2H after structural relaxation at the PBE level of DFT.

Fermi-level density of states (states/eV/cell): 9.308
E_tot (Ry per atom): -0.196
Total magnetization (μB per formula unit): 0.38

Cell: 9.969 9.969 9.982 Å, 93.95 93.95 25.75°
Atoms (fractional coordinates):
Sr1 0.006 0.006 0.195
Sr2 0.223 0.223 0.309
Sr3 0.349 0.349 0.016
Sr4 0.400 0.400 0.441
Sr5 0.600 0.600 0.559
Sr6 0.651 0.651 0.984
Sr7 0.777 0.777 0.691
Sr8 0.994 0.994 0.805
Si1 0.165 0.165 0.766
Si2 0.835 0.835 0.234
H1 0.500 0.500 0.000



[4]
Computed, not measured: Sr2SiH after structural relaxation at the PBE level of DFT.

Fermi-level density of states (states/eV/cell): 2.294
E_tot (Ry per atom): -0.230
Offset from the most stable computed form (meV/atom): 83
Total magnetization (μB per formula unit): 0.91

Cell: 5.257 5.257 5.257 Å, 60.00 60.00 60.00°
Atoms (fractional coordinates):
Sr1 0.250 0.250 0.250
Sr2 0.750 0.750 0.750
Si1 0.000 0.000 0.000
H1 0.500 0.500 0.500



[5]
Computed, not measured: Sr4Si2H after structural relaxation at the PBE level of DFT.

Fermi-level density of states (states/eV/cell): 6.527
E_tot (Ry per atom): -0.242
Offset from the most stable computed form (meV/atom): 0
Total magnetization (μB per formula unit): 0.00

Cell: 7.253 7.324 8.570 Å, 90.00 107.10 90.00°
Atoms (fractional coordinates):
Sr1 0.009 0.008 0.249
Sr2 0.009 0.492 0.249
Sr3 0.427 0.250 0.594
Sr4 0.445 0.250 0.125
Sr5 0.555 0.750 0.875
Sr6 0.573 0.750 0.406
Sr7 0.991 0.508 0.751
Sr8 0.991 0.992 0.751
Si1 0.219 0.750 0.550
Si2 0.245 0.750 0.065
Si3 0.755 0.250 0.935
Si4 0.781 0.250 0.450
H1 0.240 0.250 0.306
H2 0.760 0.750 0.694



[6]
Computed, not measured: SrSiH2 after structural relaxation at the PBE level of DFT.

Fermi-level density of states (states/eV/cell): 1.088
E_tot (Ry per atom): -0.235
Offset from the most stable computed form (meV/atom): 180
Total magnetization (μB per formula unit): 0.00

Cell: 4.316 4.316 4.316 Å, 60.00 60.00 60.00°
Atoms (fractional coordinates):
Sr1 0.000 0.000 0.000
Si1 0.500 0.500 0.500
H1 0.250 0.250 0.250
H2 0.750 0.750 0.750



[7]
Computed, not measured: SrSi3H12 after structural relaxation at the PBE level of DFT.

E_tot (Ry per atom): -0.265
Total magnetization (μB per formula unit): 0.00

Cell: 10.448 10.448 10.448 Å, 37.77 37.77 37.77°
Atoms (fractional coordinates):
Sr1 0.000 0.000 0.000
Sr2 0.500 0.500 0.500
Si1 0.164 0.388 0.671
Si2 0.171 0.888 0.664
Si3 0.388 0.671 0.164
Si4 0.664 0.171 0.888
Si5 0.671 0.164 0.388
Si6 0.888 0.664 0.171
H1 0.002 0.643 0.593
H2 0.085 0.770 0.723
H3 0.093 0.143 0.502
H4 0.143 0.502 0.093
H5 0.223 0.270 0.585
H6 0.246 0.327 0.795
H7 0.270 0.585 0.223
H8 0.295 0.827 0.746
H9 0.306 0.915 0.972
H10 0.327 0.795 0.246
H11 0.415 0.806 0.472
H12 0.472 0.415 0.806
H13 0.502 0.093 0.143
H14 0.585 0.223 0.270
H15 0.593 0.002 0.643
H16 0.643 0.593 0.002
H17 0.723 0.085 0.770
H18 0.746 0.295 0.827
H19 0.770 0.723 0.085
H20 0.795 0.246 0.327
H21 0.806 0.472 0.415
H22 0.827 0.746 0.295
H23 0.915 0.972 0.306
H24 0.972 0.306 0.915



[8]
Computed, not measured: Sr2SiH after structural relaxation at the PBE level of DFT.

Fermi-level density of states (states/eV/cell): 2.141
E_tot (Ry per atom): -0.236
Offset from the most stable computed form (meV/atom): 0
Total magnetization (μB per formula unit): 0.00

Cell: 7.388 7.388 7.388 Å, 33.68 33.68 33.68°
Atoms (fractional coordinates):
Sr1 0.245 0.245 0.245
Sr2 0.755 0.755 0.755
Si1 0.000 0.000 0.000
H1 0.500 0.500 0.500



Q: E_tot of number 3 (Sr8Si2H)?
A: -0.196 Ry per atom



Copy entry 1 word for word.
Computed, not measured: Si3SnH after structural relaxation at the PBE level of DFT.

Fermi-level density of states (states/eV/cell): 2.217
E_tot (Ry per atom): -0.298
Total magnetization (μB per formula unit): 0.00

Cell: 4.245 4.245 4.245 Å, 90.00 90.00 90.00°
Atoms (fractional coordinates):
Si1 0.000 0.000 0.500
Si2 0.000 0.500 0.000
Si3 0.500 0.000 0.000
Sn1 0.500 0.500 0.500
H1 0.000 0.000 0.000



Q: The highest E_tot belongs to which entry?
A: Sr8Si2H